No. 1
Compound: Mg6SiBi
Source: the Alexandria database
Functional: PBE
Structure: optimized geometry

## Properties
The calculation puts the uncorrected formation energy at 5.2 kJ per mole of atoms. As for the space group: No. 38.

```
Mg6SiBi
1.0
-3.4990 4.1133 -3.2249
-2.5458 -3.0972 4.8465
1.5277 3.8653 3.2726
Mg Si Bi
6 1 1
Direct
0.6657 0.8340 0.5000
0.3303 0.6697 0.0000
0.3204 0.1560 0.0000
0.8440 0.6796 0.0000
0.1660 0.3343 0.5000
0.8353 0.1647 0.0000
0.1725 0.8275 0.5000
0.6659 0.3341 0.5000
```

***

No. 2
Compound: Mg2Si2Bi
Source: the Alexandria database
Functional: PBE
Structure: optimized geometry

## Properties
The calculation puts the uncorrected formation energy at 11.6 kJ per mole of atoms. As for the space group: No. 139.

```
Mg2Si2Bi
1.0
4.5409 0.0000 0.0000
0.0000 4.5409 0.0000
2.2704 2.2704 5.3348
Mg Si Bi
2 2 1
Direct
0.7500 0.2500 0.5000
0.2500 0.7500 0.5000
0.6073 0.6073 0.7854
0.3927 0.3927 0.2146
0.0000 0.0000 0.0000
```

***

No. 3
Compound: Mg2SiBi2
Source: the Alexandria database
Functional: PBE
Structure: optimized geometry

## Properties
The calculation puts the uncorrected formation energy at 16.0 kJ per mole of atoms. As for the space group: No. 127.

```
Mg2SiBi2
1.0
-3.8166 6.0092 -0.1182
-4.8301 -3.1498 -4.1762
-2.5460 -1.5363 4.1034
Bi Si Mg
4 2 4
Direct
0.1592 0.6592 0.5000
0.8408 0.3408 0.5000
0.3408 0.1592 0.5000
0.6592 0.8408 0.5000
0.5000 0.5000 0.0000
0.0000 0.0000 0.0000
0.1551 0.3449 0.0000
0.3449 0.8449 0.0000
0.6551 0.1551 0.0000
0.8449 0.6551 0.0000
```

***

No. 4
Compound: Mg2Si2Bi
Source: the Alexandria database
Functional: PBE
Structure: optimized geometry

## Properties
The calculation puts the uncorrected formation energy at 14.3 kJ per mole of atoms. As for the space group: No. 127.

```
Mg2Si2Bi
1.0
8.2687 0.0000 0.0000
0.0000 8.2687 0.0000
0.0000 0.0000 3.1092
Si Mg Bi
4 4 2
Direct
0.8380 0.6620 0.0000
0.3380 0.8380 0.0000
0.1620 0.3380 0.0000
0.6620 0.1620 0.0000
0.8659 0.3659 0.5000
0.1341 0.6341 0.5000
0.3659 0.1341 0.5000
0.6341 0.8659 0.5000
0.5000 0.5000 0.0000
0.0000 0.0000 0.0000
```

***

No. 5
Compound: MgSi2Bi2
Source: the Alexandria database
Functional: PBE
Structure: optimized geometry

## Properties
The calculation puts the uncorrected formation energy at 19.2 kJ per mole of atoms. As for the space group: No. 139.

```
MgSi2Bi2
1.0
-1.3466 -3.2448 0.2409
0.3230 -0.3928 -3.4845
8.3755 -5.4157 -0.3925
Bi Mg Si
2 1 2
Direct
0.3919 0.3919 0.2162
0.6081 0.6081 0.7838
0.0000 0.0000 0.0000
0.2500 0.7500 0.5000
0.7500 0.2500 0.5000
```

***

No. 6
Compound: Mg2VSiBi
Source: the Alexandria database
Functional: PBE
Structure: optimized geometry

## Properties
The calculation puts the uncorrected formation energy at 23.7 kJ per mole of atoms. As for the space group: No. 123.

```
Mg2VSiBi
1.0
-3.3917 -3.4982 -1.0127
1.9946 -0.7046 -4.2462
2.9807 -3.4617 1.9746
Bi Mg V Si
1 2 1 1
Direct
0.5000 0.5000 0.5000
0.5000 0.0000 0.0000
0.0000 0.0000 0.5000
0.0000 0.5000 0.0000
0.0000 0.0000 0.0000
```

***

No. 7
Compound: MgSi2BiW
Source: the Alexandria database
Functional: PBE
Structure: optimized geometry

## Properties
The calculation puts the uncorrected formation energy at 171.4 kJ per mole of atoms. As for the space group: No. 123.

```
MgSi2BiW
1.0
4.7886 0.0000 0.0000
0.0000 5.3961 0.0000
0.0000 0.0000 4.7886
Si Bi Mg W
2 1 1 1
Direct
0.5000 0.0000 0.0000
0.0000 0.0000 0.5000
0.0000 0.5000 0.0000
0.0000 0.0000 0.0000
0.5000 0.5000 0.5000
```

***

No. 8
Compound: MgSi2BiW
Source: the Alexandria database
Functional: PBE
Structure: optimized geometry

## Properties
The calculation puts the uncorrected formation energy at 153.7 kJ per mole of atoms. As for the space group: No. 123.

```
MgSi2BiW
1.0
4.7909 0.0000 0.0000
0.0000 5.0695 0.0000
0.0000 0.0000 4.7909
Mg Si W Bi
1 2 1 1
Direct
0.0000 0.0000 0.0000
0.0000 0.0000 0.5000
0.5000 0.0000 0.0000
0.0000 0.5000 0.0000
0.5000 0.5000 0.5000
```

***

No. 9
Compound: SmMgBi2
Source: the Alexandria database
Functional: PBE
Structure: optimized geometry

## Properties
The calculation puts the formation energy at -1.3 eV/f.u. As for the space group: No. 225.

```
SmMgBi2
1.0
5.4880 0.0000 0.0000
2.7440 4.7527 0.0000
2.7440 1.5842 4.4809
Bi Sm Mg
2 1 1
Direct
0.7500 0.7500 0.7500
0.2500 0.2500 0.2500
0.0000 0.0000 0.0000
0.5000 0.5000 0.5000
```

***

No. 10
Compound: Sm3MgBi2
Source: the Alexandria database
Functional: PBE
Structure: optimized geometry

## Properties
The calculation puts the formation energy at -2.8 eV/f.u. As for the space group: No. 15.

```
Sm3MgBi2
1.0
6.4016 0.0000 0.0000
0.0000 9.1084 0.0020
-3.2008 -2.2779 6.8754
Bi Sm Mg
4 6 2
Direct
0.3377 0.9187 0.6758
0.6620 0.5813 0.3242
0.6623 0.0813 0.3242
0.3380 0.4187 0.6758
0.5058 0.2500 0.0000
0.4942 0.7500 0.0000
0.1805 0.5903 0.3613
0.8193 0.9097 0.6387
0.8195 0.4097 0.6387
0.1807 0.0903 0.3613
0.0063 0.2500 0.0000
0.9937 0.7500 0.0000
```

***

No. 11
Compound: SmMg2Bi
Source: the Alexandria database
Functional: PBE
Structure: optimized geometry

## Properties
The calculation puts the formation energy at 0.6 eV/f.u. As for the space group: No. 166.

```
SmMg2Bi
1.0
-1.8803 2.8377 -0.2100
-3.3963 -0.1821 0.2531
-0.9721 2.2609 11.5613
Sm Bi Mg
1 1 2
Direct
0.0000 0.0000 0.0000
0.5000 0.5000 0.5000
0.0914 0.0914 0.7259
0.9086 0.9086 0.2741
```

***

No. 12
Compound: Sm5Mg2Bi
Source: the Alexandria database
Functional: PBE
Structure: optimized geometry

## Properties
The calculation puts the formation energy at -1.6 eV/f.u. As for the space group: No. 140.

```
Sm5Mg2Bi
1.0
-3.6589 -5.7497 -5.4971
4.2360 -6.5298 4.0104
-5.2254 5.4186 4.7836
Sm Mg Bi
10 4 2
Direct
0.6952 0.1952 0.6936
0.1952 0.9985 0.6936
0.0000 0.0000 0.0000
0.3048 0.8048 0.3064
0.5000 0.5000 0.0000
0.0015 0.5015 0.3064
0.4985 0.6952 0.6936
0.9985 0.4985 0.6936
0.5015 0.3048 0.3064
0.8048 0.0015 0.3064
0.8567 0.6433 0.0000
0.1433 0.3567 0.0000
0.6433 0.1433 0.0000
0.3567 0.8567 0.0000
0.2500 0.2500 0.5000
0.7500 0.7500 0.5000
```

***

| no. | M_tot (μB per atom) |
| --- | --- |
| 1 | 0.000 |
| 2 | 0.000 |
| 3 | 0.000 |
| 4 | 0.000 |
| 5 | 0.000 |
| 6 | 0.422 |
| 7 | 0.664 |
| 8 | 0.475 |
| 9 | 0.000 |
| 10 | 0.001 |
| 11 | 0.000 |
| 12 | 0.000 |